Below is a relaxed structure of Tb2Ag3GeTe6, with properties calculated at the PBE level.

Cell and atoms, written as CIF:
```
data_Tb2Ag3GeTe6
_chemical_formula_sum 'Tb2 Ag3 Ge1 Te6'
_cell_length_a 10.418
_cell_length_b 10.418
_cell_length_c 8.210
_cell_angle_alpha 101.84
_cell_angle_beta 101.84
_cell_angle_gamma 23.50
_symmetry_space_group_name_H-M 'P 1'
_symmetry_Int_Tables_number 1
_symmetry_space_group_name_Hall 'P 1'
loop_
_atom_site_label
_atom_site_type_symbol
_atom_site_fract_x
_atom_site_fract_y
_atom_site_fract_z
Tb1 Tb 0.175 0.175 0.318
Tb2 Tb 0.825 0.825 0.682
Ag1 Ag 0.209 0.209 0.843
Ag2 Ag 0.500 0.500 0.500
Ag3 Ag 0.791 0.791 0.157
Ge1 Ge 0.500 0.500 0.000
Te1 Te 0.015 0.015 0.267
Te2 Te 0.331 0.331 0.411
Te3 Te 0.351 0.351 0.960
Te4 Te 0.649 0.649 0.040
Te5 Te 0.669 0.669 0.589
Te6 Te 0.985 0.985 0.733
```

Formation energy (no corrections): -53.91 kJ per mole of atoms